Here is an optimized crystal structure of PmNd5Sm3 from Alexandria. Energies are from PBE.

Properties
VASP energy = -80.83 eV/cell
Fermi-level density of states = 1.498 states/eV/atom
magnetization = 0.00 μB/f.u.

abc: 9.950 9.950 11.538
angles: 111.94 111.94 38.36
Sites, in units of the cell vectors:
Pm (0.129, 0.871, 0.750)
Pm (0.871, 0.129, 0.250)
Nd (0.011, 0.650, 0.133)
Nd (0.134, 0.531, 0.790)
Nd (0.350, 0.989, 0.367)
Nd (0.403, 0.597, 0.250)
Nd (0.469, 0.866, 0.710)
Nd (0.531, 0.134, 0.290)
Nd (0.597, 0.403, 0.750)
Nd (0.650, 0.011, 0.633)
Nd (0.866, 0.469, 0.210)
Nd (0.989, 0.350, 0.867)
Sm (0.000, 0.000, 0.000)
Sm (0.000, 0.000, 0.500)
Sm (0.141, 0.538, 0.485)
Sm (0.462, 0.859, 0.015)
Sm (0.538, 0.141, 0.985)
Sm (0.859, 0.462, 0.515)

Here is an optimized crystal structure of MnPdI2Cl from Alexandria. Energies are from PBE.

Properties
VASP energy = -18.12 eV/cell
E_form (uncorrected) = 238 meV per atom
Fermi-level density of states = 1.067 states/eV/atom
magnetization = 5.05 μB/f.u.

abc: 5.354 5.354 5.214
angles: 90.00 90.00 90.00
Sites, in units of the cell vectors:
Mn (0.000, 0.000, 0.000)
Pd (0.000, 0.000, 0.500)
I (0.000, 0.500, 0.500)
I (0.500, 0.000, 0.500)
Cl (0.500, 0.500, 0.000)

Here is an optimized crystal structure of SmDy2Er4Mg from Alexandria. Energies are from PBE.

Properties
VASP energy = -33.57 eV/cell
Fermi-level density of states = 1.470 states/eV/atom
magnetization = 0.00 μB/f.u.

abc: 4.928 4.928 9.989
angles: 90.00 90.00 90.00
Sites, in units of the cell vectors:
Sm (0.000, 0.000, 0.000)
Dy (0.000, 0.000, 0.500)
Dy (0.500, 0.500, 0.000)
Er (0.000, 0.500, 0.253)
Er (0.000, 0.500, 0.747)
Er (0.500, 0.000, 0.253)
Er (0.500, 0.000, 0.747)
Mg (0.500, 0.500, 0.500)

Here is an optimized crystal structure of BeNbSbPIr from Alexandria. Energies are from PBE.

Properties
VASP energy = -32.89 eV/cell
E_form (uncorrected) = -141 meV per atom
Fermi-level density of states = 0.588 states/eV/atom
magnetization = 0.00 μB/f.u.

abc: 5.931 5.931 4.668
angles: 100.57 100.57 32.38
Sites, in units of the cell vectors:
Be (0.000, 0.000, 0.000)
Nb (0.906, 0.906, 0.448)
Sb (0.199, 0.199, 0.355)
P (0.544, 0.544, 0.744)
Ir (0.356, 0.356, 0.949)